# MnCdGa2Ag

MnCdGa2Ag after structural relaxation (PBE-GGA, Alexandria via LeMat-Bulk).

Results
**ΔE_f**: 0.564 eV/atom
**Magnetization**: 0.8616 μB per atom
**Density**: 5.62 g cm⁻³
**Raw total energy**: -0.1188 Ha/atom

Cell lengths 4.889, 4.889, 5.124 Å; angles 90.00, 90.00, 90.00 degrees
Space group P4/mmm (No. 123)
Asymmetric unit:
Mn 0.000 0.000 0.000 x1
Cd 0.500 0.500 0.000 x1
Ga 0.000 0.500 0.500 x2
Ag 0.000 0.000 0.500 x1